No. 1
VASP calculation (PBE-GGA) on crystalline NaCdHg at its relaxed geometry.

a = 7.033 Å, b = 7.033 Å, c = 7.033 Å
α = 90.00°, β = 90.00°, γ = 90.00°
Fractional positions:
1 Na 0.000 0.000 0.000
2 Na 0.000 0.500 0.500
3 Na 0.500 0.000 0.500
4 Na 0.500 0.500 0.000
5 Cd 0.000 0.000 0.500
6 Cd 0.000 0.500 0.000
7 Cd 0.500 0.000 0.000
8 Cd 0.500 0.500 0.500
9 Hg 0.250 0.250 0.750
10 Hg 0.250 0.750 0.250
11 Hg 0.750 0.250 0.250
12 Hg 0.750 0.750 0.750

## Properties
VASP energy   -0.929 eV per atom
Symmetry   F-43m
Total moment   0.00 μB per formula unit
E above lowest polymorph   0.100 eV per atom

=====

No. 2
VASP calculation (PBE-GGA) on crystalline Na6CdHg3 at its relaxed geometry.

a = 12.793 Å, b = 3.515 Å, c = 12.965 Å
α = 90.00°, β = 97.31°, γ = 90.00°
Fractional positions:
1 Na 0.048 0.250 0.392
2 Na 0.138 0.750 0.979
3 Na 0.185 0.250 0.730
4 Na 0.262 0.750 0.268
5 Na 0.401 0.250 0.075
6 Na 0.445 0.250 0.689
7 Na 0.555 0.750 0.311
8 Na 0.599 0.750 0.925
9 Na 0.738 0.250 0.732
10 Na 0.815 0.750 0.270
11 Na 0.862 0.250 0.021
12 Na 0.952 0.750 0.608
13 Cd 0.235 0.750 0.532
14 Cd 0.765 0.250 0.468
15 Hg 0.026 0.750 0.179
16 Hg 0.352 0.750 0.869
17 Hg 0.400 0.250 0.438
18 Hg 0.600 0.750 0.562
19 Hg 0.648 0.250 0.131
20 Hg 0.974 0.250 0.821

## Properties
VASP energy   -1.111 eV per atom
Symmetry   P2_1/m
Total moment   0.00 μB per formula unit
E above lowest polymorph   0.032 eV per atom

=====

No. 3
VASP calculation (PBE-GGA) on crystalline Na2Cd2Hg5 at its relaxed geometry.

a = 3.249 Å, b = 8.035 Å, c = 8.895 Å
α = 98.00°, β = 98.79°, γ = 91.54°
Fractional positions:
1 Na 0.064 0.200 0.138
2 Na 0.936 0.800 0.862
3 Cd 0.312 0.470 0.653
4 Cd 0.688 0.530 0.347
5 Hg 0.300 0.830 0.544
6 Hg 0.431 0.137 0.810
7 Hg 0.500 0.500 0.000
8 Hg 0.569 0.863 0.190
9 Hg 0.700 0.170 0.456

## Properties
VASP energy   -0.787 eV per atom
Symmetry   P-1
Total moment   0.00 μB per formula unit
E above lowest polymorph   0.000 eV per atom

=====

No. 4
VASP calculation (PBE-GGA) on crystalline NaCd2Hg2 at its relaxed geometry.

a = 5.138 Å, b = 6.333 Å, c = 8.786 Å
α = 71.86°, β = 73.96°, γ = 70.17°
Fractional positions:
1 Na 0.249 0.251 0.250
2 Na 0.751 0.749 0.750
3 Cd 0.078 0.171 0.674
4 Cd 0.422 0.327 0.827
5 Cd 0.578 0.673 0.173
6 Cd 0.922 0.829 0.326
7 Hg 0.149 0.746 0.974
8 Hg 0.352 0.753 0.526
9 Hg 0.648 0.247 0.474
10 Hg 0.851 0.254 0.026

## Properties
VASP energy   -0.863 eV per atom
Symmetry   P-1
Total moment   0.00 μB per formula unit
E above lowest polymorph   0.000 eV per atom

=====

No. 5
VASP calculation (PBE-GGA) on crystalline NaCd3Hg4 at its relaxed geometry.

a = 9.920 Å, b = 7.892 Å, c = 4.955 Å
α = 90.00°, β = 90.00°, γ = 90.00°
Fractional positions:
1 Na 0.000 0.000 0.000
2 Na 0.500 0.000 0.000
3 Cd 0.000 0.500 0.000
4 Cd 0.250 0.000 0.490
5 Cd 0.250 0.500 0.488
6 Cd 0.500 0.500 0.000
7 Cd 0.750 0.000 0.510
8 Cd 0.750 0.500 0.512
9 Hg 0.000 0.250 0.500
10 Hg 0.000 0.750 0.500
11 Hg 0.250 0.250 0.990
12 Hg 0.250 0.750 0.990
13 Hg 0.500 0.250 0.500
14 Hg 0.500 0.750 0.500
15 Hg 0.750 0.250 0.010
16 Hg 0.750 0.750 0.010

## Properties
VASP energy   -0.735 eV per atom
Symmetry   Pmma
Total moment   0.00 μB per formula unit
E above lowest polymorph   0.000 eV per atom

=====

No. 6
VASP calculation (PBE-GGA) on crystalline Na3Cd8Hg at its relaxed geometry.

a = 10.544 Å, b = 10.544 Å, c = 10.544 Å
α = 32.57°, β = 32.57°, γ = 32.57°
Fractional positions:
1 Na 0.000 0.000 0.000
2 Na 0.126 0.126 0.126
3 Na 0.504 0.504 0.504
4 Cd 0.064 0.064 0.563
5 Cd 0.064 0.563 0.064
6 Cd 0.067 0.565 0.565
7 Cd 0.315 0.315 0.315
8 Cd 0.563 0.064 0.064
9 Cd 0.565 0.067 0.565
10 Cd 0.565 0.565 0.067
11 Cd 0.814 0.814 0.814
12 Hg 0.628 0.628 0.628

## Properties
VASP energy   -1.048 eV per atom
Symmetry   R3m
Total moment   0.00 μB per formula unit

=====

No. 7
VASP calculation (PBE-GGA) on crystalline Na2Cd5Hg5 at its relaxed geometry.

a = 7.601 Å, b = 7.601 Å, c = 10.480 Å
α = 120.05°, β = 120.05°, γ = 34.36°
Fractional positions:
1 Na 0.085 0.085 0.253
2 Na 0.915 0.915 0.747
3 Cd 0.000 0.000 0.500
4 Cd 0.170 0.170 0.004
5 Cd 0.244 0.244 0.751
6 Cd 0.756 0.756 0.249
7 Cd 0.830 0.830 0.996
8 Hg 0.333 0.333 0.496
9 Hg 0.420 0.420 0.246
10 Hg 0.500 0.500 0.000
11 Hg 0.580 0.580 0.754
12 Hg 0.667 0.667 0.504

## Properties
VASP energy   -0.819 eV per atom
Symmetry   C2/m
Total moment   0.00 μB per formula unit
E above lowest polymorph   0.000 eV per atom

=====

No. 8
VASP calculation (PBE-GGA) on crystalline Na2Cd4Hg at its relaxed geometry.

a = 6.054 Å, b = 6.054 Å, c = 10.387 Å
α = 90.00°, β = 90.00°, γ = 90.00°
Fractional positions:
1 Na 0.000 0.500 0.000
2 Na 0.000 0.500 0.500
3 Na 0.500 0.000 0.000
4 Na 0.500 0.000 0.500
5 Cd 0.250 0.250 0.250
6 Cd 0.250 0.250 0.750
7 Cd 0.250 0.750 0.250
8 Cd 0.250 0.750 0.750
9 Cd 0.750 0.250 0.250
10 Cd 0.750 0.250 0.750
11 Cd 0.750 0.750 0.250
12 Cd 0.750 0.750 0.750
13 Hg 0.000 0.000 0.000
14 Hg 0.500 0.500 0.500

## Properties
VASP energy   -0.978 eV per atom
Symmetry   I4/mmm
Total moment   0.00 μB per formula unit
E above lowest polymorph   0.000 eV per atom